(1)
Density functional theory data (PBE with a Hubbard U) for a geometry-optimized Tl2CoNiF6 structure.

Cell lengths 5.851, 5.851, 8.487 Å; angles 90.00, 90.00, 90.00 degrees
Site moments in Bohr magnetons follow the coordinates.
Fractional positions:
Tl (0.500, 0.750, 0.250)  0.00
Tl (0.000, 0.250, 0.750)  0.00
Tl (0.500, 0.750, 0.750)  0.00
Tl (0.000, 0.250, 0.250)  0.00
Ni (0.000, 0.750, 0.500)  1.86
Ni (0.500, 0.250, 0.000)  1.86
F (0.249, 0.999, 0.000)  0.05
F (0.000, 0.750, 0.741)  0.04
F (0.000, 0.750, 0.259)  0.04
F (0.751, 0.999, 0.000)  0.05
F (0.251, 0.499, 0.500)  0.05
F (0.749, 0.499, 0.500)  0.05
F (0.749, 0.001, 0.500)  0.05
F (0.500, 0.250, 0.759)  0.04
F (0.251, 0.001, 0.500)  0.05
F (0.249, 0.501, 0.000)  0.05
F (0.751, 0.501, 0.000)  0.05
F (0.500, 0.250, 0.241)  0.04
Co (0.500, 0.250, 0.500)  2.79
Co (0.000, 0.750, 0.000)  2.79

Calculated values
E_tot in eV per atom: -4.35
SG: I4/mmm (139)
Total magnetization in μB per formula unit: 5.01
Crystal system: tetragonal


(2)
Density functional theory data (PBE with a Hubbard U) for a geometry-optimized Tl2Co3NiF12 structure.

Cell lengths 7.267, 7.267, 7.267 Å; angles 60.57, 60.57, 60.57 degrees
Site moments in Bohr magnetons follow the coordinates.
Fractional positions:
F (0.925, 0.925, 0.331)  0.11
F (0.321, 0.321, 0.930)  0.14
F (0.075, 0.075, 0.669)  0.11
F (0.925, 0.331, 0.925)  0.11
F (0.070, 0.679, 0.679)  0.14
F (0.331, 0.925, 0.925)  0.11
F (0.679, 0.679, 0.070)  0.14
F (0.321, 0.930, 0.321)  0.14
F (0.075, 0.669, 0.075)  0.11
F (0.669, 0.075, 0.075)  0.11
F (0.679, 0.070, 0.679)  0.14
F (0.930, 0.321, 0.321)  0.14
Co (0.000, 0.500, 0.000)  3.15
Co (0.500, 0.000, 0.000)  3.15
Co (0.000, 0.000, 0.500)  3.15
Tl (0.635, 0.635, 0.635)  0.00
Tl (0.365, 0.365, 0.365)  0.00
Ni (0.000, 0.000, 0.000)  1.85

Calculated values
E_tot in eV per atom: -4.51
SG: R-3m (166)
Total magnetization in μB per formula unit: 13.00
Crystal system: trigonal


(3)
Density functional theory data (PBE with a Hubbard U) for a geometry-optimized Tl3CoNi2F9 structure.

Cell lengths 5.887, 5.887, 7.210 Å; angles 90.00, 90.00, 120.00 degrees
Site moments in Bohr magnetons follow the coordinates.
Fractional positions:
F (0.500, 0.500, 0.000)  0.04
F (0.832, 0.168, 0.668)  0.05
F (0.336, 0.168, 0.668)  0.05
F (0.664, 0.832, 0.332)  0.05
F (0.000, 0.500, 0.000)  0.04
F (0.168, 0.832, 0.332)  0.05
F (0.168, 0.336, 0.332)  0.05
F (0.832, 0.664, 0.668)  0.05
F (0.500, 0.000, 0.000)  0.04
Tl (0.667, 0.333, 0.333)  0.01
Tl (0.333, 0.667, 0.667)  0.01
Tl (0.000, 0.000, 0.000)  0.00
Co (0.000, 0.000, 0.500)  2.81
Ni (0.333, 0.667, 0.166)  1.85
Ni (0.667, 0.333, 0.834)  1.85

Calculated values
E_tot in eV per atom: -4.28
SG: P-3m1 (164)
Total magnetization in μB per formula unit: 7.05
Crystal system: trigonal


(4)
Density functional theory data (PBE with a Hubbard U) for a geometry-optimized Zn2CoNiF8 structure.

Cell lengths 5.887, 5.887, 5.887 Å; angles 111.48, 111.48, 105.53 degrees
Site moments in Bohr magnetons follow the coordinates.
Fractional positions:
F (0.309, 0.105, 0.796)  0.03
F (0.760, 0.056, 0.705)  0.02
F (0.944, 0.240, 0.295)  0.02
F (0.944, 0.649, 0.705)  0.02
F (0.309, 0.512, 0.204)  0.03
F (0.488, 0.691, 0.796)  0.03
F (0.351, 0.056, 0.295)  0.02
F (0.895, 0.691, 0.204)  0.03
Co (0.250, 0.750, 0.500)  2.81
Zn (0.500, 0.500, 0.000)  0.01
Zn (0.750, 0.250, 0.500)  0.01
Ni (0.000, 0.000, 0.000)  1.86

Calculated values
E_tot in eV per atom: -4.17
SG: I-4m2 (119)
Total magnetization in μB per formula unit: 5.00
Crystal system: tetragonal


(5)
Density functional theory data (PBE with a Hubbard U) for a geometry-optimized ZnCoNiF6 structure.

Cell lengths 5.216, 5.216, 8.903 Å; angles 90.00, 90.00, 120.00 degrees
Site moments in Bohr magnetons follow the coordinates.
Fractional positions:
Co (0.667, 0.333, 0.750)  2.79
Co (0.333, 0.667, 0.250)  2.79
Ni (0.000, 0.000, 0.000)  1.85
Ni (0.000, 0.000, 0.500)  1.85
F (0.330, 0.000, 0.627)  0.05
F (0.000, 0.670, 0.873)  0.05
F (0.330, 0.329, 0.873)  0.05
F (0.670, 0.000, 0.373)  0.05
F (0.000, 0.329, 0.627)  0.05
F (0.329, 0.000, 0.127)  0.05
F (0.671, 0.000, 0.873)  0.05
F (0.000, 0.330, 0.127)  0.05
F (0.670, 0.671, 0.127)  0.05
F (0.329, 0.330, 0.373)  0.05
F (0.671, 0.670, 0.627)  0.05
F (0.000, 0.671, 0.373)  0.05
Zn (0.333, 0.667, 0.750)  0.01
Zn (0.667, 0.333, 0.250)  0.01

Calculated values
E_tot in eV per atom: -4.41
SG: P-31c (163)
Total magnetization in μB per formula unit: 5.00
Crystal system: trigonal


(6)
Density functional theory data (PBE with a Hubbard U) for a geometry-optimized RbNpCo2F8 structure.

Cell lengths 6.409, 6.409, 6.804 Å; angles 61.90, 61.90, 60.00 degrees
Site moments in Bohr magnetons follow the coordinates.
Fractional positions:
Co (0.254, 0.254, 0.239)  2.69
Co (0.746, 0.746, 0.761)  2.69
Rb (0.500, 0.500, 0.500)  0.00
F (0.141, 0.141, 0.578)  0.05
F (0.270, 0.991, 0.156)  0.04
F (0.991, 0.583, 0.156)  0.04
F (0.583, 0.270, 0.156)  0.04
F (0.417, 0.730, 0.844)  0.04
F (0.859, 0.859, 0.422)  0.05
F (0.730, 0.009, 0.844)  0.04
F (0.009, 0.417, 0.844)  0.04
Np (0.000, 0.000, 0.000)  -3.81

Calculated values
E_tot in eV per atom: -5.86
SG: R-3 (148)
Total magnetization in μB per formula unit: 2.00
Crystal system: trigonal


(7)
Density functional theory data (PBE with a Hubbard U) for a geometry-optimized RbNpCoF6 structure.

Cell lengths 7.875, 7.472, 7.527 Å; angles 119.76, 121.54, 90.00 degrees
Site moments in Bohr magnetons follow the coordinates.
Fractional positions:
F (0.408, 0.158, 0.815)  0.04
F (0.555, 0.388, 0.733)  0.03
F (0.555, 0.845, 0.733)  0.03
F (0.822, 0.612, 0.267)  0.03
F (0.445, 0.612, 0.267)  0.03
F (0.178, 0.845, 0.733)  0.03
F (0.870, 0.120, 0.741)  -0.01
F (0.178, 0.388, 0.733)  0.03
F (0.445, 0.155, 0.267)  0.03
F (0.822, 0.155, 0.267)  0.03
F (0.130, 0.880, 0.259)  -0.01
F (0.592, 0.842, 0.185)  0.04
Rb (0.836, 0.586, 0.672)  0.00
Rb (0.164, 0.414, 0.328)  0.00
Co (0.500, 0.000, 0.000)  2.77
Co (0.500, 0.500, 0.000)  2.77
Np (0.000, 0.000, 0.500)  3.96
Np (0.500, 0.000, 0.500)  3.96

Calculated values
E_tot in eV per atom: -6.20
SG: Imma (74)
Total magnetization in μB per formula unit: 6.96
Crystal system: orthorhombic


(8)
Density functional theory data (PBE with a Hubbard U) for a geometry-optimized Co2O3F structure.

Cell lengths 5.259, 5.259, 6.714 Å; angles 74.03, 74.03, 74.00 degrees
Site moments in Bohr magnetons follow the coordinates.
Fractional positions:
O (0.420, 0.449, 0.369)  0.13
O (0.024, 0.644, 0.666)  0.17
O (0.904, 0.890, 0.295)  0.21
O (0.551, 0.580, 0.631)  0.13
O (0.774, 0.758, 0.038)  0.14
O (0.319, 0.681, 0.000)  0.12
O (0.356, 0.976, 0.334)  0.17
O (0.242, 0.226, 0.962)  0.14
O (0.110, 0.096, 0.705)  0.21
Co (0.028, 0.972, 0.000)  0.36
Co (0.641, 0.689, 0.334)  0.43
Co (0.668, 0.667, 0.834)  1.88
Co (0.333, 0.332, 0.166)  1.88
Co (0.311, 0.359, 0.666)  0.43
Co (0.013, 0.987, 0.500)  0.24
F (0.727, 0.273, 0.000)  0.06
F (0.636, 0.056, 0.655)  0.03
F (0.944, 0.364, 0.345)  0.03

Calculated values
E_tot in eV per atom: -5.45
SG: C2 (5)
Total magnetization in μB per formula unit: 2.36
Crystal system: monoclinic